First-principles (PBE-GGA) data for crystalline Hf2TiSe4 at its relaxed geometry, as listed in the Alexandria database.

a = 14.302 Å, b = 3.614 Å, c = 6.492 Å
α = 90.00°, β = 116.68°, γ = 90.00°
Space group C2/m (No. 12)
Unique sites:
Hf1 0.248 0.000 0.223 x4
Ti1 0.000 0.500 0.500 x2
Se1 0.113 0.500 0.945 x4
Se2 0.125 0.000 0.455 x4

Output
Uncorrected formation energy, meV/atom: -1210.6
Total DFT energy (no corrections), eV/atom: -7.17